## TaCuSiPt (PBE)

Data for an optimized crystal structure of TaCuSiPt.

a = 4.3980 Å, b = 4.3980 Å, c = 4.3980 Å
α = 60.00°, β = 60.00°, γ = 60.00°
Fractional coordinates of all 4 atoms:
Si: 0.0000 0.0000 0.0000
Cu: 0.7500 0.7500 0.7500
Ta: 0.5000 0.5000 0.5000
Pt: 0.2500 0.2500 0.2500

Output
The space group is No. 216. The energy comes out at -6.811 eV/atom.

## CuSiTcPt (PBE)

Data for an optimized crystal structure of CuSiTcPt.

a = 4.2908 Å, b = 4.2908 Å, c = 4.2908 Å
α = 60.00°, β = 60.00°, γ = 60.00°
Fractional coordinates of all 4 atoms:
Tc: 0.2500 0.2500 0.2500
Si: 0.0000 0.0000 0.0000
Cu: 0.7500 0.7500 0.7500
Pt: 0.5000 0.5000 0.5000

Output
The space group is No. 216. The energy comes out at -6.398 eV/atom.

## TlCuSiPt (PBE)

Data for an optimized crystal structure of TlCuSiPt.

a = 4.5797 Å, b = 4.5797 Å, c = 4.5797 Å
α = 60.00°, β = 60.00°, γ = 60.00°
Fractional coordinates of all 4 atoms:
Cu: 0.7500 0.7500 0.7500
Si: 0.0000 0.0000 0.0000
Tl: 0.5000 0.5000 0.5000
Pt: 0.2500 0.2500 0.2500

Output
The space group is No. 216. The energy comes out at -4.131 eV/atom.

## CuSiPtW (PBE)

Data for an optimized crystal structure of CuSiPtW.

a = 4.3365 Å, b = 4.3365 Å, c = 4.3365 Å
α = 60.00°, β = 60.00°, γ = 60.00°
Fractional coordinates of all 4 atoms:
Pt: 0.5000 0.5000 0.5000
Si: 0.0000 0.0000 0.0000
Cu: 0.7500 0.7500 0.7500
W: 0.2500 0.2500 0.2500

Output
The space group is No. 216. The energy comes out at -6.936 eV/atom.

## CuSiPtW (PBE)

Data for an optimized crystal structure of CuSiPtW.

a = 4.3440 Å, b = 4.3440 Å, c = 4.3440 Å
α = 60.00°, β = 60.00°, γ = 60.00°
Fractional coordinates of all 4 atoms:
W: 0.5000 0.5000 0.5000
Si: 0.0000 0.0000 0.0000
Pt: 0.2500 0.2500 0.2500
Cu: 0.7500 0.7500 0.7500

Output
The space group is No. 216. The energy comes out at -6.679 eV/atom.

## ZnCuSiPt (PBE)

Data for an optimized crystal structure of ZnCuSiPt.

a = 4.2681 Å, b = 4.2681 Å, c = 4.2681 Å
α = 60.00°, β = 60.00°, γ = 60.00°
Fractional coordinates of all 4 atoms:
Zn: 0.5000 0.5000 0.5000
Pt: 0.2500 0.2500 0.2500
Cu: 0.7500 0.7500 0.7500
Si: 0.0000 0.0000 0.0000

Output
The space group is No. 216. The energy comes out at -4.351 eV/atom.